Model 1:
DFT (PBE-GGA) results for an optimized crystal structure of HfMo3Pd.

```
HfMo3Pd
1.0
4.737 0.000 0.000
0.000 4.737 0.000
0.000 0.000 4.737
Mo Pd Hf
3 1 1
Cartesian
0.000 0.000 2.368
0.000 2.368 0.000
2.368 0.000 0.000
2.368 2.368 2.368
0.000 0.000 0.000
```

Properties
size of the total moment	0.00	μB/cell
density of states at the Fermi level	6.706	states/eV/cell

Model 2:
DFT (PBE-GGA) results for an optimized crystal structure of HfMo3Pd.

```
HfMo3Pd
1.0
4.724 0.000 0.000
0.000 4.724 0.000
0.000 0.000 4.724
Hf Mo Pd
1 3 1
Cartesian
2.362 2.362 2.362
0.000 2.362 0.000
0.000 0.000 2.362
2.362 0.000 0.000
0.000 0.000 0.000
```

Properties
size of the total moment	0.00	μB/cell
density of states at the Fermi level	8.025	states/eV/cell

It is model 2 that is the most stable of them.